A plane-wave DFT calculation with GGA-PBEsol was carried out for a relaxed ZnCdAu crystal.

Unit cell a=4.419 b=4.419 c=4.419 alpha=60.00 beta=60.00 gamma=60.00
Fractional coordinates of all 3 atoms:
Au1 0.500 0.500 0.500
Cd1 0.250 0.250 0.250
Zn1 0.000 0.000 0.000

Summary:
The value obtained for the formation energy is 0.15 eV per atom. The density of states at the Fermi level is 1.0 states/eV/f.u. The calculation puts the excess energy over the best structure of this formula in the dataset at 0.277 eV/atom. The calculation puts the total moment at 0.0 μB per cell. The space group is No. 216.

=====

A plane-wave DFT calculation with GGA-PBEsol was carried out for a relaxed ZnCdAu2 crystal.

Unit cell a=3.119 b=3.119 c=6.869 alpha=90.00 beta=90.00 gamma=90.00
Fractional coordinates of all 4 atoms:
Zn1 0.500 0.500 0.500
Au1 0.000 0.000 0.278
Au2 0.000 0.000 0.722
Cd1 0.500 0.500 0.000

Summary:
The value obtained for the formation energy is -0.21 eV per atom. The density of states at the Fermi level is 0.8 states/eV/f.u. The calculation puts the total moment at 0.0 μB per cell. The space group is No. 123.

=====

A plane-wave DFT calculation with GGA-PBEsol was carried out for a relaxed ZnCdAu crystal.

Unit cell a=4.409 b=4.409 c=4.409 alpha=60.00 beta=60.00 gamma=60.00
Fractional coordinates of all 3 atoms:
Cd1 0.000 0.000 0.000
Au1 0.250 0.250 0.250
Zn1 0.500 0.500 0.500

Summary:
The value obtained for the formation energy is -0.07 eV per atom. The density of states at the Fermi level is 1.1 states/eV/f.u. The calculation puts the excess energy over the best structure of this formula in the dataset at 0.058 eV/atom. The calculation puts the total moment at 0.0 μB per cell. The space group is No. 216.

=====

A plane-wave DFT calculation with GGA-PBEsol was carried out for a relaxed ZnCd2Au crystal.

Unit cell a=3.056 b=4.421 c=5.543 alpha=90.00 beta=106.00 gamma=90.00
Fractional coordinates of all 4 atoms:
Cd1 0.417 0.500 0.835
Cd2 0.077 0.000 0.154
Zn1 0.816 0.000 0.631
Au1 0.684 0.500 0.368

Summary:
The value obtained for the formation energy is -0.09 eV per atom. The density of states at the Fermi level is 1.1 states/eV/f.u. The calculation puts the total moment at 0.0 μB per cell. The space group is No. 38.

=====

A plane-wave DFT calculation with GGA-PBEsol was carried out for a relaxed ZnCdAu2 crystal.

Unit cell a=2.944 b=2.944 c=9.162 alpha=80.75 beta=80.75 gamma=60.00
Fractional coordinates of all 4 atoms:
Au1 0.743 0.743 0.770
Au2 0.257 0.257 0.230
Cd1 0.500 0.500 0.500
Zn1 0.000 0.000 0.000

Summary:
The value obtained for the formation energy is -0.12 eV per atom. The density of states at the Fermi level is 1.5 states/eV/f.u. The calculation puts the total moment at 0.0 μB per cell. The space group is No. 166.

=====

A plane-wave DFT calculation with GGA-PBEsol was carried out for a relaxed ZnCdAu2 crystal.

Unit cell a=3.965 b=3.965 c=5.103 alpha=112.86 beta=112.86 gamma=90.00
Fractional coordinates of all 4 atoms:
Au1 0.750 0.250 0.500
Au2 0.000 0.000 0.000
Zn1 0.250 0.750 0.500
Cd1 0.500 0.500 0.000

Summary:
The value obtained for the formation energy is -0.17 eV per atom. The density of states at the Fermi level is 0.9 states/eV/f.u. The calculation puts the total moment at 0.0 μB per cell. The space group is No. 119.

=====

A plane-wave DFT calculation with GGA-PBEsol was carried out for a relaxed ZnCd2Au crystal.

Unit cell a=3.404 b=3.702 c=5.716 alpha=90.00 beta=90.00 gamma=90.00
Fractional coordinates of all 4 atoms:
Au1 0.500 0.500 0.500
Cd1 0.000 0.000 0.752
Cd2 0.000 0.000 0.248
Zn1 0.500 0.500 0.000

Summary:
The value obtained for the formation energy is -0.07 eV per atom. The density of states at the Fermi level is 1.1 states/eV/f.u. The calculation puts the total moment at 0.0 μB per cell. The space group is No. 47.

=====

A plane-wave DFT calculation with GGA-PBEsol was carried out for a relaxed ZnCd2Au2 crystal.

Unit cell a=3.976 b=6.872 c=6.872 alpha=90.00 beta=90.00 gamma=90.00
Fractional coordinates of all 10 atoms:
Zn1 0.000 0.000 0.000
Zn2 0.000 0.500 0.500
Cd1 0.500 0.345 0.155
Cd2 0.500 0.845 0.345
Cd3 0.500 0.655 0.845
Cd4 0.500 0.155 0.655
Au1 0.000 0.351 0.851
Au2 0.000 0.149 0.351
Au3 0.000 0.649 0.149
Au4 0.000 0.851 0.649

Summary:
The value obtained for the formation energy is -0.12 eV per atom. The density of states at the Fermi level is 1.5 states/eV/f.u. The calculation puts the total moment at 0.0 μB per cell. The space group is No. 127.

=====

A plane-wave DFT calculation with GGA-PBEsol was carried out for a relaxed ZnCdAu2 crystal.

Unit cell a=2.915 b=4.929 c=5.075 alpha=103.15 beta=90.00 gamma=107.20
Fractional coordinates of all 4 atoms:
Zn1 0.000 0.000 0.500
Au1 0.735 0.469 0.738
Au2 0.265 0.531 0.262
Cd1 0.500 0.000 0.000

Summary:
The value obtained for the formation energy is -0.11 eV per atom. The density of states at the Fermi level is 1.1 states/eV/f.u. The calculation puts the total moment at 0.0 μB per cell. The space group is No. 12.

=====

A plane-wave DFT calculation with GGA-PBEsol was carried out for a relaxed ZnCd2Au crystal.

Unit cell a=3.307 b=3.307 c=6.540 alpha=90.00 beta=90.00 gamma=90.00
Fractional coordinates of all 4 atoms:
Au1 0.500 0.500 0.719
Zn1 0.000 0.000 0.526
Cd1 0.500 0.500 0.270
Cd2 0.000 0.000 0.985

Summary:
The value obtained for the formation energy is -0.07 eV per atom. The density of states at the Fermi level is 1.0 states/eV/f.u. The calculation puts the total moment at 0.0 μB per cell. The space group is No. 99.

=====

A plane-wave DFT calculation with GGA-PBEsol was carried out for a relaxed ZnCdAu2 crystal.

Unit cell a=3.162 b=4.658 c=4.658 alpha=100.67 beta=90.00 gamma=90.00
Fractional coordinates of all 4 atoms:
Au1 0.000 0.500 0.000
Au2 0.000 0.000 0.500
Cd1 0.500 0.500 0.500
Zn1 0.500 0.000 0.000

Summary:
The value obtained for the formation energy is -0.15 eV per atom. The density of states at the Fermi level is 1.1 states/eV/f.u. The calculation puts the total moment at 0.0 μB per cell. The space group is No. 65.

=====

A plane-wave DFT calculation with GGA-PBEsol was carried out for a relaxed ZnCdAu2 crystal.

Unit cell a=3.442 b=3.442 c=5.779 alpha=90.00 beta=90.00 gamma=90.00
Fractional coordinates of all 4 atoms:
Au1 0.500 0.500 0.254
Au2 0.000 0.000 0.976
Zn1 0.500 0.500 0.776
Cd1 0.000 0.000 0.494

Summary:
The value obtained for the formation energy is -0.12 eV per atom. The density of states at the Fermi level is 1.3 states/eV/f.u. The calculation puts the total moment at 0.0 μB per cell. The space group is No. 99.

=====

A plane-wave DFT calculation with GGA-PBEsol was carried out for a relaxed ZnCd2Au crystal.

Unit cell a=4.128 b=4.128 c=5.063 alpha=114.06 beta=114.06 gamma=90.00
Fractional coordinates of all 4 atoms:
Zn1 0.500 0.500 0.000
Cd1 0.250 0.750 0.500
Cd2 0.750 0.250 0.500
Au1 0.000 0.000 0.000

Summary:
The value obtained for the formation energy is -0.08 eV per atom. The density of states at the Fermi level is 1.2 states/eV/f.u. The calculation puts the total moment at 0.0 μB per cell. The space group is No. 139.

=====

A plane-wave DFT calculation with GGA-PBEsol was carried out for a relaxed ZnCdAu crystal.

Unit cell a=3.199 b=3.498 c=5.122 alpha=109.96 beta=108.20 gamma=90.00
Fractional coordinates of all 3 atoms:
Au1 0.986 0.986 0.971
Zn1 0.346 0.346 0.692
Cd1 0.668 0.668 0.337

Summary:
The value obtained for the formation energy is -0.12 eV per atom. The density of states at the Fermi level is 0.7 states/eV/f.u. The calculation puts the excess energy over the best structure of this formula in the dataset at 0.000 eV/atom. The calculation puts the total moment at 0.0 μB per cell. The space group is No. 44.